1.
CsGdCdTe2Se | PBE | relaxed

The crystal system is orthorhombic. The value obtained for the total energy is -3.8885 eV per atom. The value obtained for the calculated volume is 36.5 Å³ per atom.

```
data_CsGdCdTe2Se
_chemical_formula_sum 'Cs4 Gd4 Cd4 Te8 Se4'
_cell_length_a 4.5002
_cell_length_b 16.9295
_cell_length_c 11.5020
_cell_angle_alpha 90.00
_cell_angle_beta 90.00
_cell_angle_gamma 90.00
_symmetry_space_group_name_H-M 'C m c m'
_symmetry_Int_Tables_number 63
_symmetry_space_group_name_Hall '-C 2c 2'
loop_
_atom_site_label
_atom_site_fract_x
_atom_site_fract_y
_atom_site_fract_z
_atom_site_occupancy
Cs1 0.0000 0.2384 0.2500 1
Gd1 0.0000 0.5000 0.0000 1
Cd1 0.0000 0.0380 0.7500 1
Te1 0.0000 0.1257 0.5431 1
Se1 0.0000 0.4461 0.7500 1
```

=====

2.
Dy3P11 | PBE | relaxed

The crystal system is monoclinic. The value obtained for the total energy is -5.6633 eV per atom. The value obtained for the calculated volume is 21.5 Å³ per atom.

```
data_Dy3P11
_chemical_formula_sum 'Dy6 P22'
_cell_length_a 14.7040
_cell_length_b 7.3170
_cell_length_c 5.6867
_cell_angle_alpha 90.00
_cell_angle_beta 99.58
_cell_angle_gamma 90.00
_symmetry_space_group_name_H-M 'C 1 m 1'
_symmetry_Int_Tables_number 8
_symmetry_space_group_name_Hall 'C -2y'
loop_
_atom_site_label
_atom_site_fract_x
_atom_site_fract_y
_atom_site_fract_z
_atom_site_occupancy
Dy1 0.0000 0.0000 0.0000 1
Dy2 0.1301 0.5000 0.1875 1
Dy3 0.3315 0.0000 0.9221 1
P1 0.0212 0.5000 0.7059 1
P2 0.1561 0.1571 0.8532 1
P3 0.1939 0.0000 0.2936 1
P4 0.2061 0.2361 0.5294 1
P5 0.3215 0.5000 0.1416 1
P6 0.4087 0.2607 0.2646 1
P7 0.4290 0.2390 0.6505 1
```